{
  "formula": "LiNi3O3F",
  "functional": "PBE+U",
  "state": "optimized geometry",
  "dos_ef_per_ev_atom": 0.000,
  "sg": "P4/mmm, No. 123",
  "magmom_total_mub_per_cell": 6.00,
  "total_energy_ev_per_cell": -38.246,
  "crystal_system": "tetragonal",
  "volume_a3_per_atom": 9.31,
  "lattice": [[-0.677, 2.876, -0.210], [-2.041, -0.630, -2.052], [-5.840, -0.930, 6.093]],
  "species": ["F", "Ni", "Ni", "Ni", "O", "O", "O", "Li"],
  "fractional_positions": [[0.500, 0.500, 0.500], [0.500, 0.500, 0.247], [0.500, 0.500, 0.753], [0.000, 0.000, 0.000], [0.000, 0.000, 0.748], [0.500, 0.500, 0.000], [0.000, 0.000, 0.252], [0.000, 0.000, 0.500]]
}